HfIn2Pt | PBEsol | relaxed

Computed properties:
Uncorrected energy: -6.02 eV per atom

extended XYZ file:
```
4
Lattice="-4.1890 -1.7143 1.4727 -1.0453 -4.5998 -0.6360 -0.1870 -2.9374 3.7406" Properties=species:S:1:pos:R:3 pbc="T T T"
In -4.0660 -6.9386 3.4329
In -1.3553 -2.3129 1.1443
Hf 0.0000 0.0000 0.0000
Pt -2.7107 -4.6257 2.2886
```

=====

ReMoRh | PBEsol | relaxed

Computed properties:
Relative energy among the computed polymorphs: 0.000 eV per atom

extended XYZ file:
```
3
Lattice="2.7140 0.0000 0.0000 -1.3570 2.3504 0.0000 0.0000 0.0000 6.7985" Properties=species:S:1:pos:R:3 pbc="T T T"
Rh 1.3570 0.7835 2.2725
Mo 0.0000 0.0000 0.0359
Re 0.0000 1.5669 4.4901
```

=====

TaNiRh2 | PBEsol | relaxed

Computed properties:
Uncorrected energy: -9.04 eV per atom

extended XYZ file:
```
4
Lattice="2.7559 0.0000 0.0000 0.0000 3.7200 0.0000 0.0000 0.0000 5.3487" Properties=species:S:1:pos:R:3 pbc="T T T"
Ni 0.0000 1.8600 1.2751
Rh 0.0000 1.8600 4.0241
Rh 1.3779 0.0000 0.0957
Ta 1.3779 0.0000 2.6282
```

=====

CsMgTeI2 | PBEsol | relaxed

Computed properties:
Energy relative to the elements, uncorrected: 0.34 eV per atom

extended XYZ file:
```
5
Lattice="6.3093 0.0000 0.0000 0.0000 6.8416 0.0000 0.0000 0.0000 6.8416" Properties=species:S:1:pos:R:3 pbc="T T T"
I 0.0000 0.0000 3.4208
I 0.0000 3.4208 0.0000
Mg 3.1547 3.4208 3.4208
Cs 0.0000 0.0000 0.0000
Te 3.1547 0.0000 0.0000
```

=====

GaGeNF2 | PBEsol | relaxed

Computed properties:
Energy relative to the elements, uncorrected: -0.83 eV per atom

extended XYZ file:
```
5
Lattice="-0.1275 2.3732 -2.5039 -4.0559 -1.0253 -0.7653 -1.2697 2.9135 2.8261" Properties=species:S:1:pos:R:3 pbc="T T T"
Ge 0.0000 0.0000 0.0000
F -0.6349 1.4568 1.4130
F -2.0280 -0.5127 -0.3826
N -0.0637 1.1866 -1.2520
Ga -2.7266 2.1307 -0.2216
```

=====

GaAs2RhCl | PBEsol | relaxed

Computed properties:
Energy relative to the elements, uncorrected: 0.24 eV per atom

extended XYZ file:
```
5
Lattice="4.6751 0.0000 0.0000 0.0000 4.6751 0.0000 0.0000 0.0000 5.1218" Properties=species:S:1:pos:R:3 pbc="T T T"
Ga 2.3375 2.3375 2.5609
As 2.3375 0.0000 0.0000
As 0.0000 2.3375 0.0000
Rh 0.0000 0.0000 0.0000
Cl 0.0000 0.0000 2.5609
```

=====

Al7CoCu2 | PBEsol | relaxed

Computed properties:
Uncorrected energy: -4.79 eV per atom

extended XYZ file:
```
40
Lattice="-1.6490 -5.9742 -0.8382 3.5962 -0.2758 -5.1092 11.3106 -4.2714 8.1918" Properties=species:S:1:pos:R:3 pbc="T T T"
Al 9.9565 -7.4058 5.8425
Al 5.1415 -4.6990 0.0449
Al 1.4874 -0.5617 1.0773
Al 1.9190 -5.3383 -2.8486
Al 10.5848 -4.3163 2.6616
Al 3.6808 -5.9442 2.2518
Al 12.3663 -6.5390 2.9672
Al 5.9263 -6.7922 3.8782
Al 2.6730 -6.2051 -0.4172
Al 5.5591 -7.3653 -1.0826
Al 9.8232 -3.7097 7.1145
Al 7.8047 -8.2133 0.5437
Al 8.1163 -5.8224 2.1994
Al 7.6987 -3.1562 3.3270
Al 5.4531 -2.3081 1.7006
Al 8.4766 -5.3018 5.0585
Al 2.8213 -3.1661 0.9626
Al 11.3388 -5.1831 5.0930
Al 0.8915 -3.9825 -0.7229
Al 4.9295 -2.1806 -1.4343
Al 3.3013 -3.1156 -3.5982
Al 10.4365 -7.3553 1.2817
Al 4.7812 -5.2196 -2.8142
Al 9.5770 -4.5772 -0.0075
Al 8.3283 -8.3408 3.6787
Al 2.2737 -1.7597 -1.4725
Al 7.3315 -3.7292 -1.6339
Al 10.9841 -8.7617 3.7168
Cu 7.4038 -3.6685 0.8824
Cu 5.8540 -6.8529 1.3619
Cu 2.0652 -4.6074 -5.2539
Cu -0.1180 -1.6426 -0.6936
Cu 2.4720 -0.7468 -3.8026
Cu -0.5248 -5.5032 -2.1449
Cu 7.4519 -5.8810 -0.3376
Cu 5.8059 -4.6404 2.5819
Co 7.9388 -2.9981 5.7497
Co 3.3718 -1.2734 2.4421
Co 3.2571 -3.9873 -1.3199
Co 10.0008 -6.5341 3.5643
```

=====

GeAsW | PBEsol | relaxed

Computed properties:
Uncorrected energy: -8.03 eV per atom

extended XYZ file:
```
6
Lattice="3.2641 0.0000 0.0000 1.6320 4.6136 0.0031 1.6320 0.7835 6.6123" Properties=species:S:1:pos:R:3 pbc="T T T"
W 3.2641 4.7423 5.2942
W 3.2641 0.6547 1.3213
As 4.8961 3.8940 3.5335
As 1.6320 1.5031 3.0819
Ge 3.2641 3.2506 0.6933
Ge 3.2641 2.1464 5.9222
```

=====

Cu2Ru | PBEsol | relaxed

Computed properties:
Uncorrected energy: -5.95 eV per atom

extended XYZ file:
```
3
Lattice="-2.2691 0.8149 -0.6042 -1.2890 -3.4723 0.1577 0.9325 1.8173 4.0614" Properties=species:S:1:pos:R:3 pbc="T T T"
Ru 0.0000 0.0000 0.0000
Cu -2.0658 -1.1632 1.0770
Cu -0.5597 0.3231 2.5380
```

=====

Zn2AgAu | PBEsol | relaxed

Computed properties:
Relative energy among the computed polymorphs: 0.064 eV per atom

extended XYZ file:
```
4
Lattice="-1.4688 -2.8364 0.6988 0.8503 0.3332 3.1395 -4.9107 2.7974 1.0331" Properties=species:S:1:pos:R:3 pbc="T T T"
Zn -1.5286 -0.5570 2.1757
Zn -4.9093 2.7966 1.0328
Ag -2.3497 1.3385 0.4943
Au -4.1077 0.9122 2.7182
```

=====

La2Al3Sn | PBEsol | relaxed

Computed properties:
Uncorrected energy: -5.09 eV per atom

extended XYZ file:
```
6
Lattice="-0.5473 1.8829 3.8474 -2.8961 -3.2258 1.1666 5.8627 -4.2157 2.8971" Properties=species:S:1:pos:R:3 pbc="T T T"
Sn 0.2510 -2.0899 3.4818
La 4.4057 -5.8222 3.4760
La 2.9451 -2.1178 1.4554
Al 4.5916 -2.5571 4.3279
Al 0.6388 0.2853 2.3746
Al 2.2484 -3.5263 4.4689
```

=====

La3TiTc | PBEsol | relaxed

Computed properties:
Uncorrected energy: -6.65 eV per atom

extended XYZ file:
```
5
Lattice="5.3667 0.0000 0.0000 0.0000 5.3667 0.0000 0.0000 0.0000 5.3667" Properties=species:S:1:pos:R:3 pbc="T T T"
Tc 0.0000 0.0000 0.0000
Ti 2.6834 2.6834 2.6834
La 0.0000 0.0000 2.6834
La 2.6834 0.0000 0.0000
La 0.0000 2.6834 0.0000
```

=====

Short version: density of states at the Fermi level = 0.497; 1.199; 1.451; 1.817; 0.067; 0.627; 0.270; 0.135; 1.200; 0.285; 0.463; 1.935 states/eV per atom, in the order given.